# 1
Below is crystalline LiCoAs2 at its relaxed geometry, with properties calculated at the PBE level.

Structure (POSCAR):
```
LiCoAs2
1.0
4.112 0.000 0.000
0.000 3.542 -0.065
0.000 0.979 4.064
As Li Co
2 1 1
direct
0.000 0.160 0.914
0.500 0.133 0.383
0.500 0.654 0.889
0.000 0.553 0.314
```

Calculated values
- ΔH_f (0 K) (eV per atom) = -0.0947
- uncorrected energy (eV/atom) = -4.674
- Fermi-level density of states (states/eV per cell) = 2.5
- offset from the most stable computed form (kJ/mol of formula units) = 71

***

# 2
Below is crystalline LiCoAs2 at its relaxed geometry, with properties calculated at the PBE level.

Structure (POSCAR):
```
LiCoAs2
1.0
-2.640 1.183 0.249
-1.161 -2.300 -1.386
-2.010 -5.491 4.773
Co As Li
1 2 1
direct
0.500 0.250 0.250
0.000 0.542 0.462
0.000 0.958 0.038
0.500 0.750 0.750
```

Calculated values
- ΔH_f (0 K) (eV per atom) = -0.2351
- uncorrected energy (eV/atom) = -4.815
- Fermi-level density of states (states/eV per cell) = 0.8
- offset from the most stable computed form (kJ/mol of formula units) = 17

***

# 3
Below is crystalline Li3CoAs at its relaxed geometry, with properties calculated at the PBE level.

Structure (POSCAR):
```
Li3CoAs
1.0
-0.125 4.673 0.761
-3.778 -0.558 2.802
2.854 -0.533 3.742
Li As Co
3 1 1
direct
0.000 0.500 0.000
0.000 0.000 0.500
0.500 0.000 0.000
0.000 0.000 0.000
0.500 0.500 0.500
```

Calculated values
- ΔH_f (0 K) (eV per atom) = 0.3483
- uncorrected energy (eV/atom) = -3.151
- Fermi-level density of states (states/eV per cell) = 8.1
- offset from the most stable computed form (kJ/mol of formula units) = 0

***

# 4
Below is crystalline LiCoAs2 at its relaxed geometry, with properties calculated at the PBE level.

Structure (POSCAR):
```
LiCoAs2
1.0
5.022 0.018 0.000
2.389 4.417 0.000
-3.705 -2.218 2.564
As Li Co
2 1 1
direct
0.000 0.000 0.000
0.250 0.750 0.500
0.750 0.250 0.500
0.500 0.500 0.000
```

Calculated values
- ΔH_f (0 K) (eV per atom) = -0.0446
- uncorrected energy (eV/atom) = -4.624
- Fermi-level density of states (states/eV per cell) = 2.6
- offset from the most stable computed form (kJ/mol of formula units) = 91

***

# 5
Below is crystalline LiCo3As at its relaxed geometry, with properties calculated at the PBE level.

Structure (POSCAR):
```
LiCo3As
1.0
3.951 0.000 0.000
0.000 3.951 0.000
0.000 0.000 3.951
As Li Co
1 1 3
direct
0.500 0.500 0.500
0.000 0.000 0.000
0.500 0.000 0.000
0.000 0.000 0.500
0.000 0.500 0.000
```

Calculated values
- ΔH_f (0 K) (eV per atom) = 0.8993
- uncorrected energy (eV/atom) = -4.677
- Fermi-level density of states (states/eV per cell) = 10.6
- offset from the most stable computed form (kJ/mol of formula units) = 169

***

# 6
Below is crystalline LiCoAs2 at its relaxed geometry, with properties calculated at the PBE level.

Structure (POSCAR):
```
LiCoAs2
1.0
-6.565 -2.219 0.001
-5.073 -2.159 4.198
4.969 4.235 -2.322
Li Co As
1 1 2
direct
0.309 0.809 0.500
0.540 0.540 0.000
0.965 0.965 0.000
0.686 0.186 0.500
```

Calculated values
- ΔH_f (0 K) (eV per atom) = -0.2324
- uncorrected energy (eV/atom) = -4.812
- Fermi-level density of states (states/eV per cell) = 2.7
- offset from the most stable computed form (kJ/mol of formula units) = 18

***

# 7
Below is crystalline LiCo3As at its relaxed geometry, with properties calculated at the PBE level.

Structure (POSCAR):
```
LiCo3As
1.0
-2.559 1.508 -3.216
1.938 -2.729 -2.822
-2.977 -3.073 0.927
Co Li As
3 1 1
direct
0.000 0.500 0.000
0.000 0.000 0.500
0.500 0.000 0.000
0.500 0.500 0.500
0.000 0.000 0.000
```

Calculated values
- ΔH_f (0 K) (eV per atom) = 0.5481
- uncorrected energy (eV/atom) = -5.028
- Fermi-level density of states (states/eV per cell) = 8.1
- offset from the most stable computed form (kJ/mol of formula units) = 0

***

# 8
Below is crystalline LiCoAs2 at its relaxed geometry, with properties calculated at the PBE level.

Structure (POSCAR):
```
LiCoAs2
1.0
-2.120 -3.211 -1.309
2.808 -0.689 -2.856
1.714 -2.017 2.172
Li Co As
1 1 2
direct
0.000 0.500 0.500
0.500 0.000 0.500
0.500 0.500 0.000
0.000 0.000 0.000
```

Calculated values
- ΔH_f (0 K) (eV per atom) = -0.0675
- uncorrected energy (eV/atom) = -4.647
- Fermi-level density of states (states/eV per cell) = 2.7
- offset from the most stable computed form (kJ/mol of formula units) = 82